First-principles (PBE) data for Pm3Cd2Pb3 after structural relaxation, as listed in Alexandria.

```
Pm3Cd2Pb3
1.0
4.7015 0.0000 0.0000
-2.3508 6.0789 0.0000
0.0000 0.0000 16.1798
Pm Pb Cd
6 6 4
direct
0.9372 0.8743 0.3862 Pm
0.9372 0.8743 0.1138 Pm
0.0628 0.1257 0.6138 Pm
0.3400 0.6800 0.7500 Pm
0.6600 0.3200 0.2500 Pm
0.0628 0.1257 0.8862 Pm
0.3933 0.7866 0.2500 Pb
0.3775 0.7550 0.5389 Pb
0.6225 0.2450 0.0389 Pb
0.6067 0.2134 0.7500 Pb
0.6225 0.2450 0.4611 Pb
0.3775 0.7550 0.9611 Pb
0.7734 0.5468 0.8854 Cd
0.2266 0.4532 0.1146 Cd
0.7734 0.5468 0.6146 Cd
0.2266 0.4532 0.3854 Cd
```

Computed properties:
DOS(E_F) (states/eV/cell): 12.80
Spin magnetization (μB/atom): 0.00
ΔH_f (0 K) (meV per atom): -396
ρ (g cm⁻³): 9.20